Entry from Alexandria via LeMat-Bulk: a relaxed structure of HfPa2S8 (PBE-GGA).

Geometry as CIF:
```
data_HfPa2S8
_chemical_formula_sum 'Hf1 Pa2 S8'
_space_group_name_H-M_alt 'P 1'
_space_group_IT_number 1
_cell_length_a 8.088
_cell_length_b 8.088
_cell_length_c 5.215
_cell_angle_alpha 90.00
_cell_angle_beta 90.00
_cell_angle_gamma 120.00
loop_
_space_group_symop_operation_xyz
'x,y,z'
loop_
_atom_site_label
_atom_site_type_symbol
_atom_site_fract_x
_atom_site_fract_y
_atom_site_fract_z
Hf1 Hf 0.000 0.000 0.000
Pa1 Pa 0.333 0.667 0.253
Pa2 Pa 0.667 0.333 0.747
S1 S 0.150 0.299 0.268
S2 S 0.150 0.850 0.268
S3 S 0.299 0.150 0.732
S4 S 0.333 0.667 0.754
S5 S 0.667 0.333 0.246
S6 S 0.701 0.850 0.268
S7 S 0.850 0.150 0.732
S8 S 0.850 0.701 0.732
```

Output
- DFT total energy: -72.21 eV/cell
- ΔE_f (raw): -0.931 eV per atom
- D(E_F): 11.72 states/eV/cell
- Density: 5041 kg/m3
- SG: P-3m1 (164)